# 1
## CdOs2Pb (GGA-PBE)

Data for a relaxed CdOs2Pb crystal.

Properties
As for the energy relative to the lowest polymorph listed for this composition: 251.9 meV/atom. The total energy comes out at -48.81 eV for the cell shown. For the calculated volume, the calculation gives 175 Å³ per cell. Its crystal system is monoclinic. The magnetization comes out at 0.00 μB per cell.

Cell: 8.0060 2.9296 7.5517 Å, 90.00 98.12 90.00°
Space group Cm (No. 8)
One atom of each set of equivalent atoms:
Cd 0.0000 0.0000 0.0000 (multiplicity 2)
Os 0.0193 0.5000 0.6164 (multiplicity 2)
Os 0.2663 0.0000 0.7452 (multiplicity 2)
Pb 0.2767 0.5000 0.3458 (multiplicity 2)

***

# 2
## Cd2OsPb (GGA-PBE)

Data for a relaxed Cd2OsPb crystal.

Properties
The total energy comes out at -29.45 eV for the cell shown. For the calculated volume, the calculation gives 182 Å³ per cell. Its crystal system is orthorhombic. The magnetization comes out at 0.00 μB per cell.

Cell: 3.0621 4.5536 13.0493 Å, 90.00 90.00 90.00°
Space group Immm (No. 71)
One atom of each set of equivalent atoms:
Cd 0.0000 0.0000 0.1902 (multiplicity 4)
Os 0.0000 0.5000 0.5000 (multiplicity 2)
Pb 0.0000 0.5000 0.0000 (multiplicity 2)